A geometry-optimized BeSnW3 structure. Source: the Alexandria database, functional PBE.

* total DFT energy (no corrections): -8.44 eV/atom
* energy above the most stable polymorph in this dataset: 0.000 eV/f.u.
* energy of formation from the pure elements: 0.876 eV/atom
* symmetry: Pm-3m

```
BeSnW3
1.0
4.318 0.000 0.000
0.000 4.318 0.000
0.000 0.000 4.318
Sn W Be
1 3 1
direct
0.500 0.500 0.500 Sn
0.000 0.000 0.500 W
0.500 0.000 0.000 W
0.000 0.500 0.000 W
0.000 0.000 0.000 Be
```


A geometry-optimized Zn4Cu5Ni structure. Source: the Alexandria database, functional PBE.

* total DFT energy (no corrections): -3.20 eV/atom
* energy above the most stable polymorph in this dataset: 0.000 eV/f.u.
* energy of formation from the pure elements: -0.061 eV/atom
* symmetry: P4/mmm

```
Zn4Cu5Ni
1.0
2.973 0.000 0.000
0.000 2.973 0.000
0.000 0.000 14.336
Zn Cu Ni
4 5 1
direct
0.000 0.000 0.398 Zn
0.000 0.000 0.192 Zn
0.000 0.000 0.808 Zn
0.000 0.000 0.602 Zn
0.500 0.500 0.500 Cu
0.500 0.500 0.907 Cu
0.500 0.500 0.704 Cu
0.500 0.500 0.296 Cu
0.500 0.500 0.093 Cu
0.000 0.000 0.000 Ni
```


A geometry-optimized Tm5GaTe5 structure. Source: the Alexandria database, functional PBE.

* total DFT energy (no corrections): -4.93 eV/atom
* formation energy from raw total energies: -1.190 eV per atom
* symmetry: C2/m

```
Tm5GaTe5
1.0
6.051 0.000 0.000
-3.026 6.441 -2.229
0.000 0.056 8.523
Tm Ga Te
5 1 5
direct
0.156 0.312 0.318 Tm
0.844 0.689 0.159 Tm
0.156 0.311 0.841 Tm
0.844 0.688 0.682 Tm
0.500 0.000 0.000 Tm
0.000 0.000 0.000 Ga
0.335 0.669 0.173 Te
0.665 0.331 0.827 Te
0.000 0.000 0.500 Te
0.324 0.648 0.665 Te
0.676 0.352 0.335 Te
```


A geometry-optimized K2ThPbO6 structure. Source: the Alexandria database, functional PBE.

* total DFT energy (no corrections): -6.04 eV/atom
* formation energy from raw total energies: -1.731 eV per atom
* symmetry: P2_1/c

```
K2ThPbO6
1.0
-2.117 -4.072 -4.260
5.426 -3.114 0.280
-3.254 -5.088 6.479
O Pb K Th
12 2 4 2
direct
0.996 0.500 0.246 O
0.744 0.249 0.502 O
0.756 0.749 0.998 O
0.749 0.756 0.502 O
0.256 0.751 0.498 O
0.249 0.744 0.002 O
0.751 0.256 0.998 O
0.504 0.000 0.254 O
0.251 0.244 0.498 O
0.004 0.500 0.754 O
0.244 0.251 0.002 O
0.496 0.000 0.746 O
0.500 0.000 0.500 Pb
0.000 0.500 0.000 Pb
0.000 0.000 0.250 K
0.500 0.500 0.250 K
0.500 0.500 0.750 K
0.000 0.000 0.750 K
0.000 0.500 0.500 Th
0.500 0.000 0.000 Th
```


A geometry-optimized MgPbIO2 structure. Source: the Alexandria database, functional PBE.

* total DFT energy (no corrections): -3.68 eV/atom
* energy above the most stable polymorph in this dataset: 1.250 eV/f.u.
* formation energy from raw total energies: -0.324 eV per atom
* symmetry: P4/mmm

```
MgPbIO2
1.0
-4.181 0.923 0.069
-0.611 -2.511 -3.415
-1.077 -5.176 3.998
Pb I O Mg
1 1 2 1
direct
0.000 0.000 0.000 Pb
0.000 0.000 0.500 I
0.500 0.000 0.000 O
0.000 0.500 0.000 O
0.500 0.500 0.500 Mg
```


A geometry-optimized Nd4Tl2P structure. Source: the Alexandria database, functional PBE.

* total DFT energy (no corrections): -4.82 eV/atom
* energy of formation from the pure elements: -0.646 eV/atom
* symmetry: C2/m

```
Nd4Tl2P
1.0
-2.794 2.211 -2.298
-6.260 -1.810 1.957
-2.512 6.080 4.992
Nd Tl P
4 2 1
direct
0.336 0.261 0.068 Nd
0.087 0.180 0.646 Nd
0.913 0.820 0.354 Nd
0.664 0.739 0.932 Nd
0.368 0.597 0.667 Tl
0.632 0.403 0.333 Tl
0.000 0.000 0.000 P
```


A geometry-optimized AgPPd3 structure. Source: the Alexandria database, functional PBE.

* total DFT energy (no corrections): -3.38 eV/atom
* energy above the most stable polymorph in this dataset: 8.453 eV/f.u.
* energy of formation from the pure elements: 1.389 eV/atom
* symmetry: Pm-3m

```
AgPPd3
1.0
-1.643 -2.689 3.700
4.570 -0.806 1.444
-0.186 3.968 2.801
Pd Ag P
3 1 1
direct
0.000 0.500 0.000 Pd
0.000 0.000 0.500 Pd
0.500 0.000 0.000 Pd
0.000 0.000 0.000 Ag
0.500 0.500 0.500 P
```


A geometry-optimized Li4Zn2Au3 structure. Source: the Alexandria database, functional PBE.

* total DFT energy (no corrections): -2.64 eV/atom
* energy above the most stable polymorph in this dataset: 0.163 eV/f.u.
* energy of formation from the pure elements: -0.413 eV/atom
* symmetry: C2/c

```
Li4Zn2Au3
1.0
-2.844 -3.816 0.272
2.138 -2.507 7.121
-5.276 2.870 5.049
Li Au Zn
8 6 4
direct
0.978 0.180 0.934 Li
0.143 0.600 0.845 Li
0.478 0.934 0.180 Li
0.022 0.820 0.066 Li
0.857 0.400 0.155 Li
0.357 0.155 0.400 Li
0.643 0.845 0.600 Li
0.522 0.066 0.820 Li
0.919 0.045 0.290 Au
0.250 0.367 0.633 Au
0.750 0.633 0.367 Au
0.419 0.290 0.045 Au
0.581 0.710 0.955 Au
0.081 0.955 0.710 Au
0.699 0.480 0.741 Zn
0.301 0.520 0.259 Zn
0.801 0.259 0.520 Zn
0.199 0.741 0.480 Zn
```


Question: The lowest total DFT energy (no corrections) belongs to which entry?
Answer: BeSnW3


Question: Which of these has the lowest total DFT energy (no corrections)?
Answer: BeSnW3


Please write out number 8 again, unchanged.
A geometry-optimized Li4Zn2Au3 structure. Source: the Alexandria database, functional PBE.

* total DFT energy (no corrections): -2.64 eV/atom
* energy above the most stable polymorph in this dataset: 0.163 eV/f.u.
* energy of formation from the pure elements: -0.413 eV/atom
* symmetry: C2/c

```
Li4Zn2Au3
1.0
-2.844 -3.816 0.272
2.138 -2.507 7.121
-5.276 2.870 5.049
Li Au Zn
8 6 4
direct
0.978 0.180 0.934 Li
0.143 0.600 0.845 Li
0.478 0.934 0.180 Li
0.022 0.820 0.066 Li
0.857 0.400 0.155 Li
0.357 0.155 0.400 Li
0.643 0.845 0.600 Li
0.522 0.066 0.820 Li
0.919 0.045 0.290 Au
0.250 0.367 0.633 Au
0.750 0.633 0.367 Au
0.419 0.290 0.045 Au
0.581 0.710 0.955 Au
0.081 0.955 0.710 Au
0.699 0.480 0.741 Zn
0.301 0.520 0.259 Zn
0.801 0.259 0.520 Zn
0.199 0.741 0.480 Zn
```


Question: Which value of total DFT energy (no corrections) does entry 4 give?
Answer: -6.04 eV/atom